Entry a
A plane-wave DFT calculation with PBE-GGA was carried out for a relaxed structure of CoRuBr2.

Lattice parameters (Å, degrees): 3.618 5.479 7.205 137.41 90.00 90.00
Positions (direct):
Ru 0.500 0.750 0.750
Br 0.000 0.757 0.508
Br 0.000 0.743 0.992
Co 0.500 0.250 0.250

Values from the calculation:
crystal system	monoclinic
D(E_F)	0.699	states/eV per atom
space group	P2/m (10)
total moment	2.716	μB/cell

Entry b
A plane-wave DFT calculation with PBE-GGA was carried out for a relaxed structure of CoRuBr2.

Lattice parameters (Å, degrees): 3.494 3.494 7.907 90.00 90.00 125.26
Positions (direct):
Ru 0.500 0.500 0.750
Br 0.000 0.000 0.487
Co 0.500 0.500 0.250
Br 0.000 0.000 0.013

Values from the calculation:
crystal system	orthorhombic
D(E_F)	1.729	states/eV per atom
space group	Cmmm (65)
total moment	3.830	μB/cell

Entry c
A plane-wave DFT calculation with PBE-GGA was carried out for a relaxed structure of CoRuBr2.

Lattice parameters (Å, degrees): 3.442 3.428 7.752 93.02 90.00 90.00
Positions (direct):
Br 0.500 0.537 0.361
Co 0.000 0.273 0.565
Ru 0.500 0.784 0.670
Br 0.000 0.907 0.903

Values from the calculation:
crystal system	monoclinic
D(E_F)	1.089	states/eV per atom
space group	Pm (6)
total moment	2.696	μB/cell

Entry d
A plane-wave DFT calculation with PBE-GGA was carried out for a relaxed structure of CoRuBr2.

Lattice parameters (Å, degrees): 7.656 7.656 7.656 25.43 25.43 25.43
Positions (direct):
Br 0.992 0.992 0.992
Co 0.250 0.250 0.250
Br 0.508 0.508 0.508
Ru 0.750 0.750 0.750

Values from the calculation:
crystal system	trigonal
D(E_F)	1.415	states/eV per atom
space group	R-3m (166)
total moment	0.491	μB/cell

Which structure wins on stability? entry c wins.